Record 1
Entry from Alexandria: GaAsF3 after structural relaxation (GGA-PBE).

Values from the calculation:
Spin magnetization   0.0 μB/f.u.
Space group   Pm-3m
E above lowest polymorph   0.0000 eV/atom
E_form (uncorrected)   -1.306 eV per atom
Crystal system   cubic

Lattice parameters (Å, degrees): 4.411 4.411 4.411 90.00 90.00 90.00
Element x y z (fractional)
As 0.000 0.000 0.000
F 0.500 0.000 0.000
F 0.000 0.000 0.500
F 0.000 0.500 0.000
Ga 0.500 0.500 0.500

Record 2
Entry from Alexandria: GaAsF3 after structural relaxation (GGA-PBE).

Values from the calculation:
Spin magnetization   2.0 μB/f.u.
Space group   Pm-3m
E above lowest polymorph   0.1206 eV/atom
E_form (uncorrected)   -1.186 eV per atom
Crystal system   cubic

Lattice parameters (Å, degrees): 4.169 4.169 4.169 90.00 90.00 90.00
Last column: magnetic moment on the atom in μB.
Element x y z (fractional)
F 0.000 0.500 0.000  0.04
F 0.500 0.000 0.000  0.02
F 0.000 0.000 0.500  0.11
As 0.500 0.500 0.500  0.95
Ga 0.000 0.000 0.000  -0.10

Record 3
Entry from Alexandria: Li2GaAsF after structural relaxation (GGA-PBE).

Values from the calculation:
Spin magnetization   0.0 μB/f.u.
Space group   P4/mmm
E_form (uncorrected)   -0.343 eV per atom
Crystal system   tetragonal

Lattice parameters (Å, degrees): 5.244 3.930 5.244 90.00 90.00 90.00
Element x y z (fractional)
Ga 0.000 0.000 0.000
Li 0.500 0.000 0.000
Li 0.000 0.000 0.500
F 0.000 0.500 0.000
As 0.500 0.500 0.500

Record 4
Entry from Alexandria: Mg2GaAsF after structural relaxation (GGA-PBE).

Values from the calculation:
Spin magnetization   0.0 μB/f.u.
Space group   P4/mmm
E_form (uncorrected)   -0.353 eV per atom
Crystal system   tetragonal

Lattice parameters (Å, degrees): 5.225 4.018 5.225 90.00 90.00 90.00
Element x y z (fractional)
Mg 0.000 0.000 0.500
Mg 0.500 0.000 0.000
Ga 0.000 0.000 0.000
F 0.000 0.500 0.000
As 0.500 0.500 0.500

Record 5
Entry from Alexandria: GaAsNF2 after structural relaxation (GGA-PBE).

Values from the calculation:
Spin magnetization   0.9 μB/f.u.
Space group   P4/mmm
E above lowest polymorph   0.0223 eV/atom
E_form (uncorrected)   -0.524 eV per atom
Crystal system   tetragonal

Lattice parameters (Å, degrees): 3.857 3.857 4.143 90.00 90.00 90.00
Last column: magnetic moment on the atom in μB.
Element x y z (fractional)
N 0.000 0.000 0.500  -0.05
F 0.000 0.500 0.000  0.05
F 0.500 0.000 0.000  0.05
Ga 0.000 0.000 0.000  0.00
As 0.500 0.500 0.500  0.48

Record 6
Entry from Alexandria: GaAsNF2 after structural relaxation (GGA-PBE).

Values from the calculation:
Spin magnetization   0.0 μB/f.u.
Space group   P4/mmm
E above lowest polymorph   0.0000 eV/atom
E_form (uncorrected)   -0.546 eV per atom
Crystal system   tetragonal

Lattice parameters (Å, degrees): 4.473 4.473 3.669 90.00 90.00 90.00
Element x y z (fractional)
N 0.000 0.000 0.500
As 0.000 0.000 0.000
F 0.000 0.500 0.000
F 0.500 0.000 0.000
Ga 0.500 0.500 0.500

Record 7
Entry from Alexandria: GaAs2O6F after structural relaxation (GGA-PBE).

Values from the calculation:
Spin magnetization   0.0 μB/f.u.
Space group   C2/c
E_form (uncorrected)   -1.330 eV per atom
Crystal system   monoclinic

Lattice parameters (Å, degrees): 4.293 8.579 8.579 95.39 75.73 75.73
Element x y z (fractional)
O 0.107 0.741 0.646
O 0.893 0.259 0.354
O 0.879 0.781 0.982
O 0.166 0.451 0.812
O 0.621 0.018 0.219
O 0.666 0.812 0.451
O 0.379 0.982 0.781
O 0.607 0.646 0.741
O 0.334 0.188 0.549
O 0.121 0.219 0.018
O 0.834 0.549 0.188
O 0.393 0.354 0.259
F 0.250 0.782 0.218
F 0.750 0.218 0.782
As 0.042 0.357 0.184
As 0.542 0.184 0.357
As 0.458 0.816 0.643
As 0.958 0.643 0.816
Ga 0.250 0.216 0.784
Ga 0.750 0.784 0.216

Record 8
Entry from Alexandria: GaAsO2F after structural relaxation (GGA-PBE).

Values from the calculation:
Spin magnetization   0.0 μB/f.u.
Space group   P4/mmm
E_form (uncorrected)   -0.959 eV per atom
Crystal system   tetragonal

Lattice parameters (Å, degrees): 3.866 3.866 4.387 90.00 90.00 90.00
Element x y z (fractional)
F 0.000 0.000 0.500
As 0.000 0.000 0.000
O 0.500 0.000 0.000
O 0.000 0.500 0.000
Ga 0.500 0.500 0.500

Record 9
Entry from Alexandria: GaAsO2F after structural relaxation (GGA-PBE).

Values from the calculation:
Spin magnetization   0.0 μB/f.u.
Space group   P4/mmm
E_form (uncorrected)   -0.952 eV per atom
Crystal system   tetragonal

Lattice parameters (Å, degrees): 3.896 3.896 3.845 90.00 90.00 90.00
Element x y z (fractional)
O 0.000 0.500 0.000
O 0.500 0.000 0.000
F 0.000 0.000 0.500
Ga 0.000 0.000 0.000
As 0.500 0.500 0.500

Record 10
Entry from Alexandria: GaAs2PtF after structural relaxation (GGA-PBE).

Values from the calculation:
Spin magnetization   0.0 μB/f.u.
Space group   P4/mmm
E_form (uncorrected)   0.394 eV per atom
Crystal system   tetragonal

Lattice parameters (Å, degrees): 4.322 4.976 4.322 90.00 90.00 90.00
Element x y z (fractional)
Ga 0.500 0.500 0.500
F 0.000 0.000 0.000
As 0.000 0.000 0.500
As 0.500 0.000 0.000
Pt 0.000 0.500 0.000

Record 11
Entry from Alexandria: Rb2GaAsF6 after structural relaxation (GGA-PBE).

Values from the calculation:
Spin magnetization   0.0 μB/f.u.
Space group   Fm-3m
E_form (uncorrected)   -2.283 eV per atom
Crystal system   cubic

Lattice parameters (Å, degrees): 6.445 6.445 6.444 60.00 60.00 90.00
Element x y z (fractional)
F 0.228 0.772 0.000
F 0.228 0.228 0.544
F 0.772 0.772 0.456
F 0.772 0.228 0.000
F 0.772 0.772 0.000
F 0.228 0.228 0.000
Rb 0.750 0.250 0.500
Rb 0.250 0.750 0.500
As 0.000 0.000 0.000
Ga 0.500 0.500 0.000

Record 12
Entry from Alexandria: Ga2AsRhF after structural relaxation (GGA-PBE).

Values from the calculation:
Spin magnetization   0.0 μB/f.u.
Space group   P4/mmm
E_form (uncorrected)   -0.224 eV per atom
Crystal system   tetragonal

Lattice parameters (Å, degrees): 4.852 4.044 4.852 90.00 90.00 90.00
Element x y z (fractional)
Ga 0.000 0.000 0.500
Ga 0.500 0.000 0.000
Rh 0.000 0.000 0.000
F 0.000 0.500 0.000
As 0.500 0.500 0.500

Record 13
Entry from Alexandria: GaAsSe2F after structural relaxation (GGA-PBE).

Values from the calculation:
Spin magnetization   0.0 μB/f.u.
Space group   P4/mmm
E above lowest polymorph   0.0000 eV/atom
E_form (uncorrected)   0.127 eV per atom
Crystal system   tetragonal

Lattice parameters (Å, degrees): 4.837 6.033 4.837 90.00 90.00 90.00
Element x y z (fractional)
Se 0.000 0.000 0.500
Se 0.500 0.000 0.000
As 0.000 0.000 0.000
F 0.500 0.500 0.500
Ga 0.000 0.500 0.000

Record 14
Entry from Alexandria: GaAsSe2F after structural relaxation (GGA-PBE).

Values from the calculation:
Spin magnetization   0.0 μB/f.u.
Space group   P4/mmm
E above lowest polymorph   0.2226 eV/atom
E_form (uncorrected)   0.350 eV per atom
Crystal system   tetragonal

Lattice parameters (Å, degrees): 4.890 4.890 4.988 90.00 90.00 90.00
Element x y z (fractional)
Se 0.500 0.000 0.000
Se 0.000 0.500 0.000
As 0.000 0.000 0.500
Ga 0.000 0.000 0.000
F 0.500 0.500 0.500

Record 15
Entry from Alexandria: GaAsSe2F after structural relaxation (GGA-PBE).

Values from the calculation:
Spin magnetization   0.0 μB/f.u.
Space group   P4/mmm
E above lowest polymorph   0.0698 eV/atom
E_form (uncorrected)   0.197 eV per atom
Crystal system   tetragonal

Lattice parameters (Å, degrees): 5.100 4.086 5.100 90.00 90.00 90.00
Element x y z (fractional)
Ga 0.500 0.500 0.500
As 0.000 0.500 0.000
Se 0.500 0.000 0.000
Se 0.000 0.000 0.500
F 0.000 0.000 0.000

Record 16
Entry from Alexandria: GaAs2SeF after structural relaxation (GGA-PBE).

Values from the calculation:
Spin magnetization   0.0 μB/f.u.
Space group   P4/mmm
E above lowest polymorph   0.1965 eV/atom
E_form (uncorrected)   0.417 eV per atom
Crystal system   tetragonal

Lattice parameters (Å, degrees): 4.923 4.923 4.874 90.00 90.00 90.00
Element x y z (fractional)
Ga 0.000 0.000 0.000
As 0.000 0.500 0.000
As 0.500 0.000 0.000
Se 0.000 0.000 0.500
F 0.500 0.500 0.500

Record 17
Entry from Alexandria: GaAs2SeF after structural relaxation (GGA-PBE).

Values from the calculation:
Spin magnetization   0.0 μB/f.u.
Space group   P4/mmm
E above lowest polymorph   0.0000 eV/atom
E_form (uncorrected)   0.221 eV per atom
Crystal system   tetragonal

Lattice parameters (Å, degrees): 4.412 4.412 5.263 90.00 90.00 90.00
Element x y z (fractional)
F 0.000 0.000 0.000
Ga 0.500 0.500 0.500
As 0.500 0.000 0.000
As 0.000 0.500 0.000
Se 0.000 0.000 0.500

Record 18
Entry from Alexandria: SrGaAsF after structural relaxation (GGA-PBE).

Values from the calculation:
Spin magnetization   0.0 μB/f.u.
Space group   P4/nmm
E_form (uncorrected)   -1.753 eV per atom
Crystal system   tetragonal

Lattice parameters (Å, degrees): 4.550 4.550 8.137 90.00 90.00 90.00
Element x y z (fractional)
F 0.500 0.500 0.500
F 0.000 0.000 0.500
As 0.000 0.500 0.838
As 0.500 0.000 0.162
Ga 0.000 0.000 0.000
Ga 0.500 0.500 0.000
Sr 0.000 0.500 0.354
Sr 0.500 0.000 0.646

Record 19
Entry from Alexandria: TlGaAsF2 after structural relaxation (GGA-PBE).

Values from the calculation:
Spin magnetization   0.0 μB/f.u.
Space group   P4/mmm
E_form (uncorrected)   -0.913 eV per atom
Crystal system   tetragonal

Lattice parameters (Å, degrees): 4.224 5.618 4.224 90.00 90.00 90.00
Element x y z (fractional)
F 0.000 0.000 0.500
F 0.500 0.000 0.000
Tl 0.500 0.500 0.500
As 0.000 0.000 0.000
Ga 0.000 0.500 0.000